Compound: Cs3SbCl
Source: Alexandria via LeMat-Bulk
Functional: PBE
Structure: relaxed

a b c (Å): 8.609 8.613 8.634
angles (deg): 64.56 64.56 64.55
Fractional coordinates of all 10 atoms:
1 Cs 0.000 0.000 0.000
2 Cs 0.001 0.439 0.562
3 Cs 0.234 0.113 0.236
4 Cs 0.235 0.674 0.674
5 Cs 0.561 0.440 0.000
6 Cs 0.674 0.673 0.236
7 Sb 0.543 0.983 0.543
8 Sb 0.692 0.132 0.691
9 Cl 0.260 0.699 0.260
10 Cl 0.975 0.414 0.975

Values from the calculation:
Final energy, eV per atom: -2.527
Size of the total moment, μB per cell: 0.00